(1)
# V5Cr4Os | Alexandria via LeMat-Bulk | GGA-PBE | optimized geometry
# energy relative to the elements: -0.17 eV per atom
data_V5Cr4Os
_cell_length_a 2.9350
_cell_length_b 2.9350
_cell_length_c 14.7041
_cell_angle_alpha 90.00
_cell_angle_beta 90.00
_cell_angle_gamma 90.00
_space_group_name_H-M_alt 'P 1'
_space_group_IT_number 1
_space_group_name_Hall 'P 1'
loop_
_atom_site_label
_atom_site_fract_x
_atom_site_fract_y
_atom_site_fract_z
V1 0.0000 0.0000 0.0000
V2 0.0000 0.0000 0.1977
V3 0.0000 0.0000 0.3928
V4 0.0000 0.0000 0.6072
V5 0.0000 0.0000 0.8023
Cr1 0.5000 0.5000 0.0986
Cr2 0.5000 0.5000 0.2968
Cr3 0.5000 0.5000 0.7032
Cr4 0.5000 0.5000 0.9014
Os1 0.5000 0.5000 0.5000

(2)
# MnIn4Pt | Alexandria via LeMat-Bulk | GGA-PBE | optimized geometry
# energy relative to the elements: 0.55 eV per atom
data_MnIn4Pt
_cell_length_a 5.8302
_cell_length_b 5.8302
_cell_length_c 5.8302
_cell_angle_alpha 60.00
_cell_angle_beta 60.00
_cell_angle_gamma 60.00
_space_group_name_H-M_alt 'P 1'
_space_group_IT_number 1
_space_group_name_Hall 'P 1'
loop_
_atom_site_label
_atom_site_fract_x
_atom_site_fract_y
_atom_site_fract_z
Mn1 0.0000 0.0000 0.0000
In1 0.3751 0.3751 0.3751
In2 0.3751 0.3751 0.8747
In3 0.3751 0.8747 0.3751
In4 0.8747 0.3751 0.3751
Pt1 0.7500 0.7500 0.7500

(3)
# HfCrTe2W | Alexandria via LeMat-Bulk | GGA-PBE | optimized geometry
# E_form (uncorrected): 801.1 kJ/mol of formula units
data_HfCrTe2W
_cell_length_a 5.4335
_cell_length_b 5.4335
_cell_length_c 4.8798
_cell_angle_alpha 90.00
_cell_angle_beta 90.00
_cell_angle_gamma 90.00
_space_group_name_H-M_alt 'P 1'
_space_group_IT_number 1
_space_group_name_Hall 'P 1'
loop_
_atom_site_label
_atom_site_fract_x
_atom_site_fract_y
_atom_site_fract_z
Hf1 0.0000 0.0000 0.0000
Cr1 0.0000 0.0000 0.5000
Te1 0.0000 0.5000 0.0000
Te2 0.5000 0.0000 0.0000
W1 0.5000 0.5000 0.5000

It is found that the energy values, taken in the order of the records, are -9.7035, -3.8082, -6.1021 eV per atom.
It is found that the total magnetization values, taken in the order of the records, are 0.001, 4.381, 7.592 μB/f.u..
It is found that the N(E_F) values, taken in the order of the records, are 6.5, 4.1, 4.7 states/eV per cell.